# PrYGaOs (PBE, relaxed)
# - formation energy (eV/atom) = -0.2289
# - volume (Å³/cell) = 362.5
# - energy (eV for the cell shown) = -105.66
data_PrYGaOs
_cell_length_a 7.1303
_cell_length_b 7.1303
_cell_length_c 7.1303
_cell_angle_alpha 90.00
_cell_angle_beta 90.00
_cell_angle_gamma 90.00
_symmetry_space_group_name_H-M 'F -4 3 m'
_symmetry_Int_Tables_number 216
_symmetry_space_group_name_Hall 'F -4 2 3'
loop_
_atom_site_label
_atom_site_fract_x
_atom_site_fract_y
_atom_site_fract_z
Pr1 0.0000 0.0000 0.0000
Y1 0.0000 0.0000 0.5000
Ga1 0.2500 0.2500 0.2500
Os1 0.2500 0.2500 0.7500